[1]
Computed, not measured: a geometry-optimized MnCdO2 structure at the GGA-PBEsol level of DFT.

```
data_MnCdO2
_cell_length_a 3.2143
_cell_length_b 3.2143
_cell_length_c 15.8698
_cell_angle_alpha 90.00
_cell_angle_beta 90.00
_cell_angle_gamma 120.00
_symmetry_space_group_name_H-M 'R -3 m'
_symmetry_Int_Tables_number 166
_symmetry_space_group_name_Hall '-R 3 2"'
loop_
_atom_site_label
_atom_site_type_symbol
_atom_site_fract_x
_atom_site_fract_y
_atom_site_fract_z
Mn1 Mn 0.0000 0.0000 0.0000
Cd1 Cd 0.0000 0.0000 0.5000
O1 O 0.0000 0.0000 0.2596
```


[2]
Computed, not measured: a geometry-optimized MnCd3O structure at the GGA-PBEsol level of DFT.

```
data_MnCd3O
_cell_length_a 4.5305
_cell_length_b 4.5305
_cell_length_c 4.5305
_cell_angle_alpha 90.00
_cell_angle_beta 90.00
_cell_angle_gamma 90.00
_symmetry_space_group_name_H-M 'P m -3 m'
_symmetry_Int_Tables_number 221
_symmetry_space_group_name_Hall '-P 4 2 3'
loop_
_atom_site_label
_atom_site_type_symbol
_atom_site_fract_x
_atom_site_fract_y
_atom_site_fract_z
Mn1 Mn 0.0000 0.0000 0.0000
Cd1 Cd 0.0000 0.5000 0.5000
O1 O 0.5000 0.5000 0.5000
```


[3]
Computed, not measured: a geometry-optimized MnCdO2 structure at the GGA-PBEsol level of DFT.

```
data_MnCdO2
_cell_length_a 4.9208
_cell_length_b 4.9208
_cell_length_c 9.5395
_cell_angle_alpha 90.00
_cell_angle_beta 90.00
_cell_angle_gamma 90.00
_symmetry_space_group_name_H-M 'I -4 2 d'
_symmetry_Int_Tables_number 122
_symmetry_space_group_name_Hall 'I -4 2bw'
loop_
_atom_site_label
_atom_site_type_symbol
_atom_site_fract_x
_atom_site_fract_y
_atom_site_fract_z
Mn1 Mn 0.0000 0.0000 0.0000
Cd1 Cd 0.0000 0.0000 0.5000
O1 O 0.2129 0.2500 0.1250
```


[4]
Computed, not measured: a geometry-optimized Mn3Cd3Te2O12 structure at the GGA-PBEsol level of DFT.

```
data_Mn3Cd3Te2O12
_cell_length_a 8.9959
_cell_length_b 8.9959
_cell_length_c 10.9781
_cell_angle_alpha 90.00
_cell_angle_beta 90.00
_cell_angle_gamma 120.00
_symmetry_space_group_name_H-M 'R 3'
_symmetry_Int_Tables_number 146
_symmetry_space_group_name_Hall 'R 3'
loop_
_atom_site_label
_atom_site_type_symbol
_atom_site_fract_x
_atom_site_fract_y
_atom_site_fract_z
Mn1 Mn 0.1106 0.7048 0.0000
Cd1 Cd 0.0376 0.2598 0.7627
Te1 Te 0.0000 0.0000 0.0563
Te2 Te 0.0000 0.0000 0.5415
O1 O 0.0318 0.1803 0.4259
O2 O 0.0448 0.2013 0.9593
O3 O 0.1652 0.6942 0.8189
O4 O 0.1713 0.6929 0.3141
```


Number 1: formation energy (no corrections) -4.287 eV per formula unit. Number 2: formation energy (no corrections) 1.205 eV per formula unit. Number 3: formation energy (no corrections) -4.262 eV per formula unit. Number 4: formation energy (no corrections) -23.325 eV per formula unit.